No. 1
A plane-wave DFT calculation with PBE was carried out for crystalline CePrDy2Tl4 at its relaxed geometry.

Cell: 5.4536 5.4536 9.4628 Å, 73.25 73.25 60.00°
Atoms (fractional coordinates):
Dy: 0.2501 0.2501 0.2498
Tl: 0.8746 0.8746 0.3762
Pr: 0.0000 0.0000 0.0000
Ce: 0.5000 0.5000 0.5000
Dy: 0.7499 0.7499 0.7502
Tl: 0.1254 0.1254 0.6238
Tl: 0.3755 0.3755 0.8734
Tl: 0.6245 0.6245 0.1266

Results
ΔH_f (0 K)	-0.321	eV/atom
symmetry	No. 166

---

No. 2
A plane-wave DFT calculation with PBE was carried out for crystalline NaSrCa3 at its relaxed geometry.

Cell: 6.8220 6.8220 6.8220 Å, 90.00 90.00 90.00°
Atoms (fractional coordinates):
Ca: 0.0000 0.0000 0.5000
Na: 0.5000 0.5000 0.5000
Ca: 0.0000 0.5000 0.0000
Ca: 0.5000 0.0000 0.0000
Sr: 0.0000 0.0000 0.0000

Results
ΔH_f (0 K)	0.773	eV/atom
symmetry	No. 221
energy above the lowest structure with this stoichiometry	69.91	kJ per mole of atoms

---

No. 3
A plane-wave DFT calculation with PBE was carried out for crystalline Be2RuBr at its relaxed geometry.

Cell: 3.0809 3.0809 6.8304 Å, 90.00 90.00 90.00°
Atoms (fractional coordinates):
Ru: 0.5000 0.5000 0.8937
Be: 0.0000 0.0000 0.0114
Br: 0.0000 0.0000 0.3936
Be: 0.5000 0.5000 0.2012

Results
raw formation energy	0.280	eV per atom
symmetry	No. 99
energy above the lowest structure with this stoichiometry	15.80	kJ per mole of atoms